A plane-wave DFT calculation with PBE was carried out for an optimized crystal structure of BaLaRhW2.

Cell lengths 5.175, 5.054, 5.175 Å; angles 90.00, 90.00, 90.00 degrees
Each line ends with the local moment (μB).
Fractional positions:
W 0.000 0.000 0.500  1.00
Ba 0.000 0.000 0.000  0.01
La 0.500 0.500 0.500  0.07
W 0.500 0.000 0.000  1.10
Rh 0.000 0.500 0.000  0.16

Output
Calculated volume: 135.4 Å³ per cell
E: -28.03 eV for the cell shown
DFT formation energy: 2.415 eV per atom

A plane-wave DFT calculation with PBE was carried out for an optimized crystal structure of BaLa2YRh.

Cell lengths 5.723, 5.723, 5.754 Å; angles 90.00, 90.00, 90.00 degrees
Fractional positions:
La 0.500 0.000 0.000
Ba 0.500 0.500 0.500
La 0.000 0.500 0.000
Rh 0.000 0.000 0.000
Y 0.000 0.000 0.500

Output
Calculated volume: 188.5 Å³ per cell
E: -26.88 eV for the cell shown
DFT formation energy: -0.256 eV per atom

Please write out number 2 again, unchanged.
A plane-wave DFT calculation with PBE was carried out for an optimized crystal structure of BaLa2YRh.

Cell lengths 5.723, 5.723, 5.754 Å; angles 90.00, 90.00, 90.00 degrees
Fractional positions:
La 0.500 0.000 0.000
Ba 0.500 0.500 0.500
La 0.000 0.500 0.000
Rh 0.000 0.000 0.000
Y 0.000 0.000 0.500

Output
Calculated volume: 188.5 Å³ per cell
E: -26.88 eV for the cell shown
DFT formation energy: -0.256 eV per atom